ZrBe2ReIr | GGA-PBE | optimized geometry

a = 4.1673 Å, b = 5.0455 Å, c = 4.1673 Å
α = 90.00°, β = 90.00°, γ = 90.00°
Last column: nearest neighbours and their distance in Å.
Atoms (fractional coordinates):
Re 0.5000 0.5000 0.5000  4 Zr 2.95, 8 Be 3.27
Ir 0.0000 0.0000 0.0000  4 Be 2.08
Zr 0.0000 0.5000 0.0000  2 Ir 2.52
Be 0.0000 0.0000 0.5000  2 Ir 2.08
Be 0.5000 0.0000 0.0000  2 Ir 2.08

Calculated values
Total magnetization = 1.670 μB per cell
E_form = 0.7886 eV per atom
Space-group type = No. 123

VFeCo | GGA-PBE | optimized geometry

a = 2.9239 Å, b = 2.9239 Å, c = 4.6258 Å
α = 108.42°, β = 108.42°, γ = 90.00°
Last column: nearest neighbours and their distance in Å.
Atoms (fractional coordinates):
Co 0.0010 0.0010 0.0020  5 V 2.49-2.75, 5 Fe 2.51-2.72
Fe 0.3300 0.3300 0.6599  4 V 2.46, 5 Co 2.51-2.72
V 0.6691 0.6691 0.3381  4 Fe 2.46, 5 Co 2.49-2.75

Calculated values
Total magnetization = 2.694 μB per cell
E_form = -0.0774 eV per atom
Space-group type = No. 107

Ba4Ca3Hg | GGA-PBE | optimized geometry

a = 4.2700 Å, b = 4.2700 Å, c = 21.3834 Å
α = 90.00°, β = 90.00°, γ = 90.00°
Last column: nearest neighbours and their distance in Å.
Atoms (fractional coordinates):
Ca 0.5000 0.5000 0.2316  8 Ba 4.16-4.23, 4 Ca 4.27
Ca 0.5000 0.5000 0.5000  8 Ba 4.17, 4 Ca 4.27
Ca 0.5000 0.5000 0.7684  8 Ba 4.16-4.23, 4 Ca 4.27
Ba 0.0000 0.0000 0.9068  4 Hg 3.62, 1 Ba 3.99
Ba 0.0000 0.0000 0.0932  4 Hg 3.62, 1 Ba 3.99
Ba 0.0000 0.0000 0.3657  8 Ca 4.16-4.17, 4 Ba 4.27
Ba 0.0000 0.0000 0.6343  8 Ca 4.16-4.17, 4 Ba 4.27
Hg 0.5000 0.5000 0.0000  8 Ba 3.62

Calculated values
Total magnetization = 0.000 μB per cell
E_form = -0.1084 eV per atom
Space-group type = No. 123

V3ReB | GGA-PBE | optimized geometry

a = 4.5273 Å, b = 4.5273 Å, c = 4.5273 Å
α = 90.00°, β = 90.00°, γ = 90.00°
Last column: nearest neighbours and their distance in Å.
Atoms (fractional coordinates):
Re 0.0000 0.0000 0.0000  6 V 2.26
B 0.5000 0.5000 0.5000  12 V 3.20
V 0.0000 0.5000 0.0000  2 Re 2.26
V 0.0000 0.0000 0.5000  2 Re 2.26
V 0.5000 0.0000 0.0000  2 Re 2.26

Calculated values
Total magnetization = 0.000 μB per cell
E_form = 1.9490 eV per atom
Space-group type = No. 221

Please write out number 4 again, unchanged.
V3ReB | GGA-PBE | optimized geometry

a = 4.5273 Å, b = 4.5273 Å, c = 4.5273 Å
α = 90.00°, β = 90.00°, γ = 90.00°
Last column: nearest neighbours and their distance in Å.
Atoms (fractional coordinates):
Re 0.0000 0.0000 0.0000  6 V 2.26
B 0.5000 0.5000 0.5000  12 V 3.20
V 0.0000 0.5000 0.0000  2 Re 2.26
V 0.0000 0.0000 0.5000  2 Re 2.26
V 0.5000 0.0000 0.0000  2 Re 2.26

Calculated values
Total magnetization = 0.000 μB per cell
E_form = 1.9490 eV per atom
Space-group type = No. 221

Copy entry 2 word for word.
VFeCo | GGA-PBE | optimized geometry

a = 2.9239 Å, b = 2.9239 Å, c = 4.6258 Å
α = 108.42°, β = 108.42°, γ = 90.00°
Last column: nearest neighbours and their distance in Å.
Atoms (fractional coordinates):
Co 0.0010 0.0010 0.0020  5 V 2.49-2.75, 5 Fe 2.51-2.72
Fe 0.3300 0.3300 0.6599  4 V 2.46, 5 Co 2.51-2.72
V 0.6691 0.6691 0.3381  4 Fe 2.46, 5 Co 2.49-2.75

Calculated values
Total magnetization = 2.694 μB per cell
E_form = -0.0774 eV per atom
Space-group type = No. 107

Please write out number 4 again, unchanged.
V3ReB | GGA-PBE | optimized geometry

a = 4.5273 Å, b = 4.5273 Å, c = 4.5273 Å
α = 90.00°, β = 90.00°, γ = 90.00°
Last column: nearest neighbours and their distance in Å.
Atoms (fractional coordinates):
Re 0.0000 0.0000 0.0000  6 V 2.26
B 0.5000 0.5000 0.5000  12 V 3.20
V 0.0000 0.5000 0.0000  2 Re 2.26
V 0.0000 0.0000 0.5000  2 Re 2.26
V 0.5000 0.0000 0.0000  2 Re 2.26

Calculated values
Total magnetization = 0.000 μB per cell
E_form = 1.9490 eV per atom
Space-group type = No. 221

total magnetization of number 3 (Ba4Ca3Hg)? 0.000 μB per cell